# 1
Computed, not measured: a relaxed structure of BeZnSeO at the PBE-GGA level of DFT.

a b c (Å): 3.7890 3.7890 8.6375
angles (deg): 90.00 90.00 90.00
Closest atoms and distances in Å follow each position.
Fractional coordinates of all 8 atoms:
1 O 0.2500 0.2500 0.6080  1 Be 1.42
2 O 0.7500 0.7500 0.3920  1 Be 1.42
3 Se 0.7500 0.7500 0.8195  1 Be 2.27, 4 Zn 2.45
4 Se 0.2500 0.2500 0.1805  1 Be 2.27, 4 Zn 2.45
5 Be 0.7500 0.7500 0.5566  1 O 1.42
6 Be 0.2500 0.2500 0.4434  1 O 1.42
7 Zn 0.2500 0.7500 0.0000  4 Se 2.45, 4 Zn 2.68
8 Zn 0.7500 0.2500 0.0000  4 Se 2.45, 4 Zn 2.68

## Properties
- Space-group type: P4/nmm


# 2
Computed, not measured: a relaxed structure of BeZnSeO at the PBE-GGA level of DFT.

a b c (Å): 5.4832 9.5690 4.6898
angles (deg): 90.00 90.00 90.00
Closest atoms and distances in Å follow each position.
Fractional coordinates of all 16 atoms:
1 Se 0.9696 0.6652 0.9156  4 Zn 2.52-2.53
2 Se 0.4696 0.3348 0.9156  4 Zn 2.52-2.53
3 Se 0.0304 0.3348 0.4156  4 Zn 2.52-2.53
4 Se 0.5304 0.6652 0.4156  4 Zn 2.52-2.53
5 Zn 0.4144 0.5966 0.9156  4 Se 2.52-2.53
6 Zn 0.5856 0.4034 0.4156  4 Se 2.52-2.53
7 Zn 0.0856 0.5966 0.4156  4 Se 2.52-2.53
8 Zn 0.9144 0.4034 0.9156  4 Se 2.52-2.53
9 Be 0.1247 0.9942 0.0419  3 O 1.57-1.58
10 Be 0.3753 0.9942 0.5419  3 O 1.57-1.58
11 Be 0.8753 0.0058 0.5419  3 O 1.57-1.58
12 Be 0.6247 0.0058 0.0419  3 O 1.57-1.58
13 O 0.6246 0.0111 0.3770  3 Be 1.57-1.58
14 O 0.3754 0.9889 0.8770  3 Be 1.57-1.58
15 O 0.1246 0.9889 0.3770  3 Be 1.57-1.58
16 O 0.8754 0.0111 0.8770  3 Be 1.57-1.58

## Properties
- Space-group type: Pca2_1


How do the records compare in V? In the order shown, they have 15.50, 15.38 Å³ per atom.
How do the records compare in ΔE to the lowest computed polymorph? In the order shown, they have 0.8817, 0.0000 eV/atom.
How do the records compare in calculated total energy? In the order shown, they have -3.970, -4.851 eV/atom.